Record 1
! CeAlAg2 | Alexandria | PBEsol | optimized geometry; values from VASP
&SYSTEM
  ibrav = 0, nat = 4, ntyp = 3
/
ATOMIC_SPECIES
Ce 140.12 Ce.upf
Al 26.98 Al.upf
Ag 107.87 Ag.upf
CELL_PARAMETERS angstrom
4.845 0.000 0.000
2.422 4.196 0.000
2.422 1.399 3.956
ATOMIC_POSITIONS angstrom
Ce 0.000 0.000 0.000
Al 4.845 2.797 1.978
Ag 7.267 4.196 2.967
Ag 2.422 1.399 0.989
! energy relative to the elements = -178 meV per atom
! volume = 20.10 Å³/atom

---

Record 2
! Ta2NbV | Alexandria | PBEsol | optimized geometry; values from VASP
&SYSTEM
  ibrav = 0, nat = 4, ntyp = 3
/
ATOMIC_SPECIES
Nb 92.91 Nb.upf
V 50.94 V.upf
Ta 180.95 Ta.upf
CELL_PARAMETERS angstrom
-4.485 -0.175 0.693
-2.297 -3.803 -0.943
-1.680 -2.535 3.374
ATOMIC_POSITIONS angstrom
Nb -4.231 -3.256 1.561
V 0.000 0.000 0.000
Ta -2.116 -1.628 0.781
Ta -6.347 -4.884 2.342
! energy relative to the elements = 44 meV per atom
! volume = 16.56 Å³/atom

---

Record 3
! CdInAg2 | Alexandria | PBEsol | optimized geometry; values from VASP
&SYSTEM
  ibrav = 0, nat = 4, ntyp = 3
/
ATOMIC_SPECIES
In 114.82 In.upf
Ag 107.87 Ag.upf
Cd 112.41 Cd.upf
CELL_PARAMETERS angstrom
3.099 0.000 0.005
0.000 4.732 0.000
-0.010 0.000 5.075
ATOMIC_POSITIONS angstrom
In 1.162 2.366 0.973
Ag 2.712 0.000 0.243
Ag 2.704 2.366 3.565
Cd 1.155 0.000 2.846
! energy relative to the elements = -54 meV per atom
! volume = 18.61 Å³/atom

---

Record 4
! NbAl2W | Alexandria | PBEsol | optimized geometry; values from VASP
&SYSTEM
  ibrav = 0, nat = 8, ntyp = 3
/
ATOMIC_SPECIES
Nb 92.91 Nb.upf
Al 26.98 Al.upf
W 183.84 W.upf
CELL_PARAMETERS angstrom
5.467 0.000 0.000
2.733 4.958 0.000
2.733 0.000 4.958
ATOMIC_POSITIONS angstrom
Nb 2.733 0.000 0.000
Nb 4.100 2.479 2.479
Al 7.516 4.925 2.446
Al 2.050 0.033 2.512
Al 6.150 2.512 4.925
Al 6.150 2.446 0.033
W 0.000 0.000 0.000
W 6.833 2.479 2.479
! energy relative to the elements = 453 meV per atom
! volume = 16.80 Å³/atom

---

Record 5
! ScMoAsCl2 | Alexandria | PBEsol | optimized geometry; values from VASP
&SYSTEM
  ibrav = 0, nat = 5, ntyp = 4
/
ATOMIC_SPECIES
Sc 44.96 Sc.upf
Mo 95.94 Mo.upf
As 74.92 As.upf
Cl 35.45 Cl.upf
CELL_PARAMETERS angstrom
-3.459 -2.946 0.450
2.089 -2.890 -2.851
2.842 -2.615 4.733
ATOMIC_POSITIONS angstrom
Sc 0.000 0.000 0.000
Mo 1.421 -1.307 2.366
As 0.736 -4.225 1.166
Cl 1.045 -1.445 -1.426
Cl -1.730 -1.473 0.225
! E_form (uncorrected) = 0.22 eV per atom
! volume = 25.47 Å³/atom

---

Record 6
! ZnHBr3 | Alexandria | PBEsol | optimized geometry; values from VASP
&SYSTEM
  ibrav = 0, nat = 5, ntyp = 3
/
ATOMIC_SPECIES
H 1.01 H.upf
Zn 65.41 Zn.upf
Br 79.90 Br.upf
CELL_PARAMETERS angstrom
-0.733 -3.885 3.177
4.698 0.598 1.816
-1.765 3.205 3.512
ATOMIC_POSITIONS angstrom
H 1.100 -0.041 4.252
Zn 0.000 0.000 0.000
Br 2.349 0.299 0.908
Br -0.883 1.602 1.756
Br -0.367 -1.942 1.588
! total DFT energy (no corrections) = -9.2 eV/cell
! volume = 26.09 Å³/atom

---

The records above give, respectively, total magnetic moment values of 0.154 0.000 0.000 0.000 0.477 0.198 μB/atom.